DFT (PBE-GGA) results for K2Be2SnO6 after structural relaxation.

```
K2Be2SnO6
1.0
2.755 1.591 5.962
-2.755 1.591 5.962
0.000 -3.181 5.962
K Be Sn O
2 2 1 6
Direct
0.206 0.206 0.206
0.794 0.794 0.794
0.400 0.400 0.400
0.600 0.600 0.600
0.000 0.000 0.000
0.244 0.244 0.724
0.244 0.724 0.244
0.276 0.756 0.756
0.724 0.244 0.244
0.756 0.276 0.756
0.756 0.756 0.276
```

Results
crystal system = trigonal
uncorrected formation energy = -1.702 eV per atom
symmetry = R-3m, No. 166

DFT (PBE-GGA) results for BaNaSr3 after structural relaxation.

```
BaNaSr3
1.0
10.709 0.000 0.000
0.000 4.216 0.000
-3.659 0.000 12.004
Ba Na Sr
2 2 6
Direct
0.120 0.250 0.158
0.880 0.750 0.842
0.278 0.750 0.463
0.722 0.250 0.537
0.101 0.250 0.648
0.314 0.750 0.937
0.499 0.250 0.722
0.501 0.750 0.278
0.686 0.250 0.063
0.899 0.750 0.352
```

Results
crystal system = monoclinic
energy relative to the elements = 0.19 eV per formula unit
distance to the lowest polymorph of the same formula = 0 meV per atom
symmetry = P2_1/m, No. 11

DFT (PBE-GGA) results for Li8SmO6 after structural relaxation.

```
Li8SmO6
1.0
2.842 1.641 5.488
-2.842 1.641 5.488
0.000 -3.282 5.488
Li Sm O
8 1 6
Direct
0.003 0.402 0.724
0.138 0.138 0.138
0.276 0.997 0.598
0.402 0.724 0.003
0.598 0.276 0.997
0.724 0.003 0.402
0.862 0.862 0.862
0.997 0.598 0.276
0.500 0.500 0.500
0.101 0.744 0.392
0.256 0.608 0.899
0.392 0.101 0.744
0.608 0.899 0.256
0.744 0.392 0.101
0.899 0.256 0.608
```

Results
crystal system = trigonal
uncorrected formation energy = -1.965 eV per atom
symmetry = R-3, No. 148

DFT (PBE-GGA) results for Sr2Pm2Ge3 after structural relaxation.

```
Sr2Pm2Ge3
1.0
6.870 -2.220 0.000
6.870 2.220 0.000
-3.806 0.000 6.865
Sr Pm Ge
2 2 3
Direct
0.116 0.116 0.269
0.884 0.884 0.731
0.153 0.153 0.776
0.847 0.847 0.224
0.412 0.412 0.047
0.500 0.500 0.500
0.588 0.588 0.953
```

Results
crystal system = monoclinic
energy relative to the elements = -3.81 eV per formula unit
symmetry = C2/m, No. 12

DFT (PBE-GGA) results for PmUTe3 after structural relaxation.

```
PmUTe3
1.0
4.398 0.000 0.000
-2.199 3.809 0.000
0.000 0.000 22.143
Pm U Te
2 2 6
Direct
0.333 0.667 0.000
0.667 0.333 0.500
0.000 0.000 0.179
0.000 0.000 0.679
0.000 0.000 0.424
0.000 0.000 0.924
0.333 0.667 0.256
0.333 0.667 0.593
0.667 0.333 0.093
0.667 0.333 0.756
```

Results
crystal system = hexagonal
uncorrected formation energy = -0.946 eV per atom
distance to the lowest polymorph of the same formula = 68 meV per atom
symmetry = P6_3mc, No. 186

DFT (PBE-GGA) results for AcSbF after structural relaxation.

```
AcSbF
1.0
2.184 1.261 11.300
-2.184 1.261 11.300
0.000 -2.521 11.300
Ac Sb F
2 2 2
Direct
0.102 0.102 0.102
0.898 0.898 0.898
0.000 0.000 0.000
0.500 0.500 0.500
0.245 0.245 0.245
0.755 0.755 0.755
```

Results
crystal system = trigonal
uncorrected formation energy = -2.041 eV per atom
distance to the lowest polymorph of the same formula = 157 meV per atom
symmetry = R-3m, No. 166

DFT (PBE-GGA) results for Tb6PmPrHo2 after structural relaxation.

```
Tb6PmPrHo2
1.0
4.591 -7.538 0.000
4.591 7.538 0.000
-1.133 0.000 9.510
Tb Pm Pr Ho
12 2 2 4
Direct
0.019 0.565 0.181
0.118 0.753 0.557
0.247 0.882 0.943
0.293 0.513 0.382
0.435 0.981 0.319
0.487 0.707 0.118
0.513 0.293 0.882
0.565 0.019 0.681
0.707 0.487 0.618
0.753 0.118 0.057
0.882 0.247 0.443
0.981 0.435 0.819
0.408 0.592 0.750
0.592 0.408 0.250
0.029 0.971 0.250
0.971 0.029 0.750
0.198 0.301 0.048
0.301 0.198 0.548
0.699 0.802 0.452
0.802 0.699 0.952
```

Results
crystal system = monoclinic
energy relative to the elements = 1.21 eV per formula unit
symmetry = C2/c, No. 15

DFT (PBE-GGA) results for K3Ag4Pd2 after structural relaxation.

```
K3Ag4Pd2
1.0
5.875 -2.381 0.000
5.875 2.381 0.000
-2.739 0.000 8.943
K Ag Pd
3 4 2
Direct
0.000 0.000 0.000
0.378 0.378 0.630
0.622 0.622 0.370
0.090 0.090 0.633
0.251 0.251 0.921
0.749 0.749 0.079
0.910 0.910 0.367
0.318 0.318 0.231
0.682 0.682 0.769
```

Results
crystal system = monoclinic
energy relative to the elements = -0.03 eV per formula unit
symmetry = C2/m, No. 12

DFT (PBE-GGA) results for LaDy12Er5 after structural relaxation.

```
LaDy12Er5
1.0
7.517 -7.526 0.000
7.517 7.526 0.000
0.000 0.000 5.010
La Dy Er
1 12 5
Direct
0.000 0.000 0.000
0.000 0.336 0.000
0.000 0.664 0.000
0.168 0.500 0.500
0.169 0.169 0.500
0.334 0.334 0.000
0.336 0.000 0.000
0.500 0.168 0.500
0.500 0.832 0.500
0.664 0.000 0.000
0.666 0.666 0.000
0.831 0.831 0.500
0.832 0.500 0.500
0.169 0.831 0.500
0.334 0.666 0.000
0.500 0.500 0.500
0.666 0.334 0.000
0.831 0.169 0.500
```

Results
crystal system = orthorhombic
energy relative to the elements = 0.42 eV per formula unit
symmetry = Cmmm, No. 65

DFT (PBE-GGA) results for GaBiSb2 after structural relaxation.

```
GaBiSb2
1.0
-3.392 3.392 6.433
3.392 -3.392 6.433
3.392 3.392 -6.433
Ga Bi Sb
2 2 4
Direct
0.000 0.000 0.000
0.750 0.250 0.500
0.250 0.750 0.500
0.500 0.500 0.000
0.076 0.625 0.951
0.375 0.326 0.451
0.674 0.125 0.049
0.875 0.924 0.549
```

Results
crystal system = tetragonal
uncorrected formation energy = 0.101 eV per atom
distance to the lowest polymorph of the same formula = 3 meV per atom
symmetry = I-42d, No. 122

DFT (PBE-GGA) results for K2TaCu after structural relaxation.

```
K2TaCu
1.0
-2.026 2.026 5.985
2.026 -2.026 5.985
2.026 2.026 -5.985
K Ta Cu
2 1 1
Direct
0.250 0.750 0.500
0.750 0.250 0.500
0.000 0.000 0.000
0.500 0.500 0.000
```

Results
crystal system = tetragonal
energy relative to the elements = 5.53 eV per formula unit
distance to the lowest polymorph of the same formula = 634 meV per atom
symmetry = I4/mmm, No. 139

DFT (PBE-GGA) results for KLi2GaAg after structural relaxation.

```
KLi2GaAg
1.0
5.226 0.000 0.000
0.000 5.226 0.000
0.000 0.000 4.946
K Li Ga Ag
1 2 1 1
Direct
0.000 0.000 0.000
0.000 0.500 0.500
0.500 0.000 0.500
0.500 0.500 0.000
0.500 0.500 0.500
```

Results
crystal system = tetragonal
energy relative to the elements = 0.01 eV per formula unit
symmetry = P4/mmm, No. 123

DFT (PBE-GGA) results for Tm2SiAu3 after structural relaxation.

```
Tm2SiAu3
1.0
3.435 0.000 0.000
0.000 4.448 0.000
0.000 0.000 8.023
Tm Si Au
2 1 3
Direct
0.000 0.000 0.000
0.000 0.500 0.489
0.500 0.500 0.823
0.500 0.000 0.337
0.500 0.000 0.680
0.500 0.500 0.136
```

Results
crystal system = orthorhombic
uncorrected formation energy = -0.781 eV per atom
symmetry = Pmm2, No. 25

DFT (PBE-GGA) results for Ta2ReRu after structural relaxation.

```
Ta2ReRu
1.0
2.804 0.000 0.000
0.000 2.804 0.000
0.000 0.000 8.387
Ta Re Ru
2 1 1
Direct
0.000 0.000 0.000
0.500 0.500 0.280
0.000 0.000 0.545
0.500 0.500 0.749
```

Results
crystal system = tetragonal
energy relative to the elements = -0.14 eV per formula unit
symmetry = P4mm, No. 99

DFT (PBE-GGA) results for KNiP after structural relaxation.

```
KNiP
1.0
6.182 -1.990 0.000
6.182 1.990 0.000
-4.422 0.000 6.074
K Ni P
2 2 2
Direct
0.054 0.054 0.297
0.946 0.946 0.703
0.264 0.264 0.113
0.736 0.736 0.887
0.282 0.282 0.840
0.718 0.718 0.160
```

Results
crystal system = monoclinic
energy relative to the elements = -1.28 eV per formula unit
symmetry = C2/m, No. 12

DFT (PBE-GGA) results for Na3Ho3ReO8 after structural relaxation.

```
Na3Ho3ReO8
1.0
3.342 1.929 5.568
-3.342 1.929 5.568
0.000 -3.859 5.568
Na Ho Re O
3 3 1 8
Direct
0.000 0.500 0.500
0.500 0.000 0.500
0.500 0.500 0.000
0.000 0.000 0.500
0.000 0.500 0.000
0.500 0.000 0.000
0.500 0.500 0.500
0.236 0.236 0.236
0.259 0.720 0.720
0.280 0.280 0.741
0.280 0.741 0.280
0.720 0.259 0.720
0.720 0.720 0.259
0.741 0.280 0.280
0.764 0.764 0.764
```

Results
crystal system = trigonal
uncorrected formation energy = -2.493 eV per atom
symmetry = R-3m, No. 166

DFT (PBE-GGA) results for Pm5Pr2 after structural relaxation.

```
Pm5Pr2
1.0
4.832 -3.048 0.000
4.832 3.048 0.000
-4.345 0.000 8.268
Pm Pr
5 2
Direct
0.000 0.000 0.000
0.142 0.142 0.427
0.429 0.429 0.288
0.571 0.571 0.712
0.858 0.858 0.573
0.286 0.286 0.857
0.714 0.714 0.143
```

Results
crystal system = monoclinic
energy relative to the elements = 0.72 eV per formula unit
distance to the lowest polymorph of the same formula = 0 meV per atom
symmetry = C2/m, No. 12

DFT (PBE-GGA) results for KCa3Zn after structural relaxation.

```
KCa3Zn
1.0
5.971 0.000 0.000
0.000 5.971 0.000
0.000 0.000 5.971
K Ca Zn
1 3 1
Direct
0.000 0.000 0.000
0.000 0.500 0.500
0.500 0.000 0.500
0.500 0.500 0.000
0.500 0.500 0.500
```

Results
crystal system = cubic
energy relative to the elements = 0.15 eV per formula unit
distance to the lowest polymorph of the same formula = 0 meV per atom
symmetry = Pm-3m, No. 221

DFT (PBE-GGA) results for Pa2TiCu6 after structural relaxation.

```
Pa2TiCu6
1.0
7.524 0.000 0.000
-3.762 6.516 0.000
0.000 0.000 2.980
Pa Ti Cu
2 1 6
Direct
0.333 0.667 0.000
0.667 0.333 0.000
0.000 0.000 0.000
0.000 0.325 0.500
0.000 0.675 0.500
0.325 0.000 0.500
0.325 0.325 0.500
0.675 0.000 0.500
0.675 0.675 0.500
```

Results
crystal system = hexagonal
energy relative to the elements = -0.13 eV per formula unit
symmetry = P6/mmm, No. 191

DFT (PBE-GGA) results for Sm8InSb2 after structural relaxation.

```
Sm8InSb2
1.0
9.775 -2.534 0.000
9.775 2.534 0.000
-1.322 0.000 7.014
Sm In Sb
8 1 2
Direct
0.017 0.017 0.259
0.216 0.216 0.845
0.337 0.337 0.481
0.407 0.407 0.014
0.593 0.593 0.986
0.663 0.663 0.519
0.784 0.784 0.155
0.983 0.983 0.741
0.500 0.500 0.500
0.180 0.180 0.267
0.820 0.820 0.733
```

Results
crystal system = monoclinic
uncorrected formation energy = -0.424 eV per atom
symmetry = C2/m, No. 12

DFT (PBE-GGA) results for La6Ni2CI3 after structural relaxation.

```
La6Ni2CI3
1.0
3.548 -6.251 0.000
3.548 6.251 0.000
-2.336 0.000 8.056
La Ni C I
6 2 1 3
Direct
0.066 0.376 0.180
0.244 0.244 0.814
0.376 0.066 0.180
0.624 0.934 0.820
0.756 0.756 0.186
0.934 0.624 0.820
0.334 0.666 0.000
0.666 0.334 0.000
0.000 0.000 0.000
0.171 0.829 0.500
0.500 0.500 0.500
0.829 0.171 0.500
```

Results
crystal system = monoclinic
uncorrected formation energy = -0.701 eV per atom
symmetry = C2/m, No. 12

DFT (PBE-GGA) results for MnRhI2 after structural relaxation.

```
MnRhI2
1.0
-3.071 3.071 6.227
3.071 -3.071 6.227
3.071 3.071 -6.227
Mn Rh I
2 2 4
Direct
0.000 0.000 0.000
0.750 0.250 0.500
0.250 0.750 0.500
0.500 0.500 0.000
0.134 0.625 0.009
0.375 0.384 0.509
0.616 0.125 0.991
0.875 0.866 0.491
```

Results
crystal system = tetragonal
uncorrected formation energy = 0.288 eV per atom
distance to the lowest polymorph of the same formula = 0 meV per atom
symmetry = I-42d, No. 122

DFT (PBE-GGA) results for ErPa2Zn6 after structural relaxation.

```
ErPa2Zn6
1.0
7.904 0.000 0.000
-3.952 6.845 0.000
0.000 0.000 3.213
Er Pa Zn
1 2 6
Direct
0.000 0.000 0.000
0.333 0.667 0.000
0.667 0.333 0.000
0.000 0.331 0.500
0.000 0.669 0.500
0.331 0.000 0.500
0.331 0.331 0.500
0.669 0.000 0.500
0.669 0.669 0.500
```

Results
crystal system = hexagonal
energy relative to the elements = -1.57 eV per formula unit
symmetry = P6/mmm, No. 191